# AlRe2AgW (GGA-PBEsol, optimized geometry)
# DFT total energy, eV/atom: -7.02
data_AlRe2AgW
_chemical_formula_sum 'Al1 Re2 Ag1 W1'
_cell_length_a 4.7321
_cell_length_b 4.7321
_cell_length_c 4.1733
_cell_angle_alpha 90.00
_cell_angle_beta 90.00
_cell_angle_gamma 90.00
_symmetry_space_group_name_H-M 'P 4/m m m'
_symmetry_Int_Tables_number 123
_symmetry_space_group_name_Hall '-P 4 2'
loop_
_atom_site_label
_atom_site_type_symbol
_atom_site_fract_x
_atom_site_fract_y
_atom_site_fract_z
Al1 Al 0.0000 0.0000 0.0000
Re1 Re 0.0000 0.5000 0.5000
Ag1 Ag 0.0000 0.0000 0.5000
W1 W 0.5000 0.5000 0.0000